The following is a PBE-GGA calculation of a relaxed CrReSb2 crystal, from Alexandria.

Cell: 4.0406 4.0406 9.1861 Å, 90.00 90.00 90.00°
Sites, in units of the cell vectors:
1 Cr 0.0000 0.0000 0.0000
2 Cr 0.5000 0.5000 0.5000
3 Re 0.0000 0.5000 0.7500
4 Re 0.5000 0.0000 0.2500
5 Sb 0.0000 0.0000 0.5000
6 Sb 0.0000 0.5000 0.2500
7 Sb 0.5000 0.0000 0.7500
8 Sb 0.5000 0.5000 0.0000

Calculated values
The calculation puts the density of states at the Fermi level at 0.8737 states/eV per atom. The formation energy from raw total energies is 705 meV/atom. The density is 10.67 g/cm³.